(1)
TbMgNiAu: relaxed, GGA-PBE.

Calculated values
Theoretical density   9.5 g/cm3
DFT formation energy   -46.8 kJ/mol of atoms
SG   F-43m (216)
Magnetization   0.00 μB/f.u.
Energy   -17.2 eV per formula unit

abc: 4.7753 4.7753 4.7753
angles: 60.00 60.00 60.00
Atoms (fractional coordinates):
1 Tb 0.0000 0.0000 0.0000
2 Au 0.7500 0.7500 0.7500
3 Ni 0.2500 0.2500 0.2500
4 Mg 0.5000 0.5000 0.5000


(2)
Mg2Zn5Ni2Au: relaxed, GGA-PBE.

Calculated values
Theoretical density   7.5 g/cm3
DFT formation energy   -20.9 kJ/mol of atoms
SG   P4/mbm (127)
Magnetization   0.00 μB/f.u.
Energy   -26.6 eV per formula unit

abc: 3.9266 8.8272 8.8272
angles: 90.00 90.00 90.00
Atoms (fractional coordinates):
1 Ni 0.0000 0.8835 0.3835
2 Zn 0.5000 0.7921 0.9260
3 Au 0.0000 0.0000 0.0000
4 Zn 0.5000 0.5740 0.7079
5 Zn 0.5000 0.7079 0.4260
6 Mg 0.0000 0.3246 0.8246
7 Zn 0.5000 0.0740 0.7921
8 Au 0.0000 0.5000 0.5000
9 Mg 0.0000 0.6754 0.1754
10 Zn 0.5000 0.4260 0.2921
11 Ni 0.0000 0.3835 0.1165
12 Zn 0.5000 0.5000 0.0000
13 Mg 0.0000 0.8246 0.6754
14 Mg 0.0000 0.1754 0.3246
15 Zn 0.5000 0.0000 0.5000
16 Zn 0.5000 0.9260 0.2079
17 Ni 0.0000 0.6165 0.8835
18 Zn 0.5000 0.2079 0.0740
19 Zn 0.5000 0.2921 0.5740
20 Ni 0.0000 0.1165 0.6165


(3)
Mg2ZnNiAu: relaxed, GGA-PBE.

Calculated values
Theoretical density   5.7 g/cm3
Energy above the lowest structure with this stoichiometry   0.00 eV/f.u.
DFT formation energy   21.9 kJ/mol of atoms
SG   P4/mmm (123)
Magnetization   0.00 μB/f.u.
Energy   -12.4 eV per formula unit

abc: 4.7274 4.8029 4.7274
angles: 90.00 90.00 90.00
Atoms (fractional coordinates):
1 Ni 0.0000 0.0000 0.0000
2 Mg 0.0000 0.0000 0.5000
3 Mg 0.5000 0.0000 0.0000
4 Au 0.0000 0.5000 0.0000
5 Zn 0.5000 0.5000 0.5000


(4)
Mg2ZnNiAu: relaxed, GGA-PBE.

Calculated values
Theoretical density   6.0 g/cm3
Energy above the lowest structure with this stoichiometry   0.70 eV/f.u.
DFT formation energy   35.4 kJ/mol of atoms
SG   P4/mmm (123)
Magnetization   0.00 μB/f.u.
Energy   -11.7 eV per formula unit

abc: 4.8450 4.3349 4.8450
angles: 90.00 90.00 90.00
Atoms (fractional coordinates):
1 Mg 0.0000 0.0000 0.5000
2 Ni 0.0000 0.5000 0.0000
3 Au 0.5000 0.5000 0.5000
4 Mg 0.5000 0.0000 0.0000
5 Zn 0.0000 0.0000 0.0000


(5)
MgNpAu6: relaxed, GGA-PBE.

Calculated values
Theoretical density   15.3 g/cm3
DFT formation energy   -24.8 kJ/mol of atoms
SG   C2/m (12)
Magnetization   3.85 μB/f.u.
Energy   -36.3 eV per formula unit

abc: 4.7328 4.8637 8.1921
angles: 87.13 73.21 60.89
Atoms (fractional coordinates):
1 Np 0.0000 0.5000 0.5000
2 Au 0.7592 0.1309 0.3508
3 Au 0.2581 0.3784 0.1054
4 Au 0.4844 0.7694 0.2618
5 Au 0.5156 0.2306 0.7382
6 Au 0.2408 0.8691 0.6492
7 Au 0.7419 0.6216 0.8946
8 Mg 0.0000 0.0000 0.0000


(6)
MgNp2Au6: relaxed, GGA-PBE.

Calculated values
Theoretical density   15.2 g/cm3
DFT formation energy   -25.1 kJ/mol of atoms
SG   C2/m (12)
Magnetization   9.10 μB/f.u.
Energy   -49.5 eV per formula unit

abc: 2.9711 8.4399 8.4399
angles: 60.02 89.94 89.94
Atoms (fractional coordinates):
1 Au 0.5000 0.6711 0.3289
2 Au 0.5012 0.3287 0.0000
3 Au 0.5012 0.0000 0.3287
4 Au 0.4988 0.0000 0.6713
5 Au 0.5000 0.3289 0.6711
6 Mg 0.0000 0.0000 0.0000
7 Au 0.4988 0.6713 0.0000
8 Np 0.0000 0.6667 0.6667
9 Np 0.0000 0.3333 0.3333